1.
# PBE NaPr2Sn, optimized geometry
data_NaPr2Sn
_chemical_formula_sum 'Na1 Pr2 Sn1'
_cell_length_a 5.1675
_cell_length_b 5.1675
_cell_length_c 4.5438
_cell_angle_alpha 90.00
_cell_angle_beta 90.00
_cell_angle_gamma 90.00
_space_group_name_H-M_alt 'P 4/m m m'
_space_group_IT_number 123
_space_group_name_Hall '-P 4 2'
loop_
_atom_site_label
_atom_site_fract_x
_atom_site_fract_y
_atom_site_fract_z
Na1 0.0000 0.0000 0.0000
Pr1 0.0000 0.5000 0.5000
Sn1 0.5000 0.5000 0.0000
# * raw total energy: -16.180 eV for the cell shown

=====

2.
# PBE Na2La3DyTe6, optimized geometry
data_Na2La3DyTe6
_chemical_formula_sum 'Na4 La6 Dy2 Te12'
_cell_length_a 7.8914
_cell_length_b 13.6488
_cell_length_c 7.8125
_cell_angle_alpha 90.00
_cell_angle_beta 109.57
_cell_angle_gamma 90.00
_space_group_name_H-M_alt 'C 1 2/m 1'
_space_group_IT_number 12
_space_group_name_Hall '-C 2y'
loop_
_atom_site_label
_atom_site_fract_x
_atom_site_fract_y
_atom_site_fract_z
Na1 0.0000 0.1651 0.0000
La1 0.0000 0.0000 0.5000
La2 0.0000 0.3292 0.5000
Dy1 0.0000 0.5000 0.0000
Te1 0.2429 0.3368 0.2390
Te2 0.2433 0.5000 0.7547
# * E_form (uncorrected): -1.4190 eV per atom

=====

3.
# PBE Dy3Y8Tm, optimized geometry
data_Dy3Y8Tm
_chemical_formula_sum 'Dy6 Y16 Tm2'
_cell_length_a 7.6844
_cell_length_b 7.6844
_cell_length_c 15.3775
_cell_angle_alpha 90.00
_cell_angle_beta 90.00
_cell_angle_gamma 90.00
_space_group_name_H-M_alt 'I 4/m m m'
_space_group_IT_number 139
_space_group_name_Hall '-I 4 2'
loop_
_atom_site_label
_atom_site_fract_x
_atom_site_fract_y
_atom_site_fract_z
Dy1 0.0000 0.0000 0.0000
Dy2 0.0000 0.5000 0.2500
Y1 0.2505 0.2505 0.1247
Tm1 0.0000 0.0000 0.5000
# * raw total energy: -122.400 eV for the cell shown

=====

4.
# PBE RbSn8Au2, optimized geometry
data_RbSn8Au2
_chemical_formula_sum 'Rb2 Sn16 Au4'
_cell_length_a 17.4327
_cell_length_b 10.2639
_cell_length_c 4.2600
_cell_angle_alpha 90.00
_cell_angle_beta 103.10
_cell_angle_gamma 90.00
_space_group_name_H-M_alt 'C 1 2/m 1'
_space_group_IT_number 12
_space_group_name_Hall '-C 2y'
loop_
_atom_site_label
_atom_site_fract_x
_atom_site_fract_y
_atom_site_fract_z
Rb1 0.0000 0.0000 0.0000
Sn1 0.0878 0.5000 0.1025
Sn2 0.1832 0.2411 0.1877
Sn3 0.1911 0.0000 0.6928
Au1 0.1931 0.5000 0.7004
# * raw total energy: -79.327 eV for the cell shown

=====

5.
# PBE Ho2GeSe, optimized geometry
data_Ho2GeSe
_chemical_formula_sum 'Ho6 Ge3 Se3'
_cell_length_a 4.1091
_cell_length_b 4.1091
_cell_length_c 20.2650
_cell_angle_alpha 90.00
_cell_angle_beta 90.00
_cell_angle_gamma 120.00
_space_group_name_H-M_alt 'R -3 m'
_space_group_IT_number 166
_space_group_name_Hall '-R 3 2"'
loop_
_atom_site_label
_atom_site_fract_x
_atom_site_fract_y
_atom_site_fract_z
Ho1 0.0000 0.0000 0.2455
Ge1 0.0000 0.0000 0.5000
Se1 0.0000 0.0000 0.0000
# * E_form (uncorrected): -1.3755 eV per atom

=====

6.
# PBE ZnTe3, optimized geometry
data_ZnTe3
_chemical_formula_sum 'Zn1 Te3'
_cell_length_a 3.9787
_cell_length_b 3.9792
_cell_length_c 8.8026
_cell_angle_alpha 90.00
_cell_angle_beta 90.00
_cell_angle_gamma 90.00
_space_group_name_H-M_alt 'P m m 2'
_space_group_IT_number 25
_space_group_name_Hall 'P 2 -2'
loop_
_atom_site_label
_atom_site_fract_x
_atom_site_fract_y
_atom_site_fract_z
Zn1 0.0000 0.0000 0.0000
Te1 0.0000 0.5000 0.5573
Te2 0.5000 0.0000 0.4416
Te3 0.5000 0.5000 0.0006
# * E_form (uncorrected): 0.0817 eV per atom

=====

7.
# PBE LiSiRu2, optimized geometry
data_LiSiRu2
_chemical_formula_sum 'Li1 Si1 Ru2'
_cell_length_a 2.7362
_cell_length_b 2.7362
_cell_length_c 7.6608
_cell_angle_alpha 90.00
_cell_angle_beta 90.00
_cell_angle_gamma 90.00
_space_group_name_H-M_alt 'P 4 m m'
_space_group_IT_number 99
_space_group_name_Hall 'P 4 -2'
loop_
_atom_site_label
_atom_site_fract_x
_atom_site_fract_y
_atom_site_fract_z
Li1 0.0000 0.0000 0.0000
Si1 0.5000 0.5000 0.7298
Ru1 0.0000 0.0000 0.5117
Ru2 0.5000 0.5000 0.2806
# * E_form (uncorrected): -0.0193 eV per atom

=====

8.
# PBE Tl5PSe6, optimized geometry
data_Tl5PSe6
_chemical_formula_sum 'Tl10 P2 Se12'
_cell_length_a 7.0725
_cell_length_b 12.4025
_cell_length_c 7.7657
_cell_angle_alpha 90.00
_cell_angle_beta 106.97
_cell_angle_gamma 90.00
_space_group_name_H-M_alt 'C 1 2/m 1'
_space_group_IT_number 12
_space_group_name_Hall '-C 2y'
loop_
_atom_site_label
_atom_site_fract_x
_atom_site_fract_y
_atom_site_fract_z
Tl1 0.0000 0.0000 0.0000
Tl2 0.0000 0.1634 0.5000
Tl3 0.0000 0.3255 0.0000
P1 0.0000 0.5000 0.5000
Se1 0.2212 0.3474 0.7062
Se2 0.2306 0.5000 0.2812
# * E_form (uncorrected): -0.1740 eV per atom

=====

9.
# PBE Hf4SnGe, optimized geometry
data_Hf4SnGe
_chemical_formula_sum 'Hf8 Sn2 Ge2'
_cell_length_a 6.7491
_cell_length_b 6.7491
_cell_length_c 5.5035
_cell_angle_alpha 90.00
_cell_angle_beta 90.00
_cell_angle_gamma 90.00
_space_group_name_H-M_alt 'P 4/m c c'
_space_group_IT_number 124
_space_group_name_Hall '-P 4 2c'
loop_
_atom_site_label
_atom_site_fract_x
_atom_site_fract_y
_atom_site_fract_z
Hf1 0.1419 0.3366 0.0000
Sn1 0.5000 0.5000 0.2500
Ge1 0.0000 0.0000 0.2500
# * raw total energy: -102.412 eV for the cell shown

=====

10.
# PBE Nd2SmCu3, optimized geometry
data_Nd2SmCu3
_chemical_formula_sum 'Nd2 Sm1 Cu3'
_cell_length_a 3.5651
_cell_length_b 3.5651
_cell_length_c 10.7953
_cell_angle_alpha 90.00
_cell_angle_beta 90.00
_cell_angle_gamma 90.00
_space_group_name_H-M_alt 'P 4/m m m'
_space_group_IT_number 123
_space_group_name_Hall '-P 4 2'
loop_
_atom_site_label
_atom_site_fract_x
_atom_site_fract_y
_atom_site_fract_z
Nd1 0.0000 0.0000 0.1681
Sm1 0.0000 0.0000 0.5000
Cu1 0.5000 0.5000 0.0000
Cu2 0.5000 0.5000 0.3388
# * raw total energy: -27.479 eV for the cell shown

=====

11.
# PBE RbC2I3N2, optimized geometry
data_RbC2I3N2
_chemical_formula_sum 'Rb2 C4 I6 N4'
_cell_length_a 7.5221
_cell_length_b 16.2737
_cell_length_c 4.6692
_cell_angle_alpha 90.00
_cell_angle_beta 90.00
_cell_angle_gamma 90.00
_space_group_name_H-M_alt 'P m m n'
_space_group_IT_number 59
loop_
_space_group_symop_operation_xyz
'x,y,z'
'-x,-y,-z'
'-x+1/2,-y+1/2,z'
'x+1/2,y+1/2,-z'
'x+1/2,-y,-z'
'-x+1/2,y,z'
'-x,y+1/2,-z'
'x,-y+1/2,z'
loop_
_atom_site_label
_atom_site_fract_x
_atom_site_fract_y
_atom_site_fract_z
Rb1 0.2500 0.2500 0.1332
C1 0.2500 0.0558 0.6869
I1 0.2500 0.5660 0.8132
I2 0.2500 0.7500 0.0668
N1 0.2500 0.1254 0.6212
# * E_form (uncorrected): 0.0258 eV per atom

=====

12.
# PBE LaPm2FeN4, optimized geometry
data_LaPm2FeN4
_chemical_formula_sum 'La4 Pm8 Fe4 N16'
_cell_length_a 3.4921
_cell_length_b 11.8561
_cell_length_c 11.9715
_cell_angle_alpha 90.00
_cell_angle_beta 90.00
_cell_angle_gamma 90.00
_space_group_name_H-M_alt 'C m c m'
_space_group_IT_number 63
_space_group_name_Hall '-C 2c 2'
loop_
_atom_site_label
_atom_site_fract_x
_atom_site_fract_y
_atom_site_fract_z
La1 0.0000 0.1186 0.2500
Pm1 0.0000 0.3676 0.0444
Fe1 0.0000 0.1620 0.7500
N1 0.0000 0.0000 0.0000
N2 0.0000 0.2699 0.6337
N3 0.0000 0.3982 0.2500
# * E_form (uncorrected): -0.9897 eV per atom

=====

Calculated magnetization, 0.00 0.00 0.00 0.00 0.00 0.00 0.00 0.00 0.00 0.00 0.00 0.00 μB per cell (same order as the records).